Density functional theory data (PBE-GGA) for an optimized crystal structure of BeSbWI2.

```
5
Lattice="5.583 0.000 0.000 0.000 5.583 0.000 0.000 0.000 5.257" Properties=species:S:1:pos:R:3 pbc="T T T"
Be 0.000 0.000 0.000
Sb 2.792 2.792 0.000
W 2.792 2.792 2.628
I 0.000 2.792 2.628
I 2.792 0.000 2.628
```

Values from the calculation:
D(E_F)	4.83	states/eV/cell

=====

Density functional theory data (PBE-GGA) for an optimized crystal structure of BeSb2WI.

```
5
Lattice="4.783 0.000 0.000 0.000 4.783 0.000 0.000 0.000 5.210" Properties=species:S:1:pos:R:3 pbc="T T T"
Be 0.000 0.000 0.000
Sb 0.000 2.391 0.000
Sb 2.391 0.000 0.000
W 2.391 2.391 2.605
I 0.000 0.000 2.605
```

Values from the calculation:
D(E_F)	2.92	states/eV/cell

=====

Density functional theory data (PBE-GGA) for an optimized crystal structure of YBeSb2I.

```
5
Lattice="5.903 0.000 0.000 0.000 5.903 0.000 0.000 0.000 5.904" Properties=species:S:1:pos:R:3 pbc="T T T"
Y 0.000 0.000 0.000
Be 2.952 2.952 2.952
Sb 0.000 2.952 0.000
Sb 2.952 0.000 0.000
I 0.000 0.000 2.952
```

Values from the calculation:
D(E_F)	5.41	states/eV/cell

=====

Density functional theory data (PBE-GGA) for an optimized crystal structure of YBeSb2I.

```
5
Lattice="4.851 0.000 0.000 0.000 4.851 0.000 0.000 0.000 5.718" Properties=species:S:1:pos:R:3 pbc="T T T"
Y 0.000 0.000 0.000
Be 2.425 2.425 2.859
Sb 0.000 2.425 2.859
Sb 2.425 0.000 2.859
I 2.425 2.425 0.000
```

Values from the calculation:
D(E_F)	1.90	states/eV/cell

=====

In meV/atom, the excess energy over the best structure of this formula in the dataset values for the records above are, in order, 0.0 190.0 612.9 0.0.
In μB/f.u., the size of the total moment values for the records above are, in order, 0.81 2.96 0.81 0.00.